No. 1
# Ge2BrCl

A geometry-optimized Ge2BrCl structure (PBE, Alexandria).

Cell lengths 7.1052, 7.1052, 7.1052 Å; angles 90.00, 90.00, 90.00 degrees
Closest atoms and distances in Å follow each position.
Fractional positions:
Ge 0.2500 0.2500 0.2500  4 Cl 3.08, 4 Br 3.08
Ge 0.2500 0.2500 0.7500  4 Cl 3.08, 4 Br 3.08
Ge 0.2500 0.7500 0.2500  4 Cl 3.08, 4 Br 3.08
Ge 0.2500 0.7500 0.7500  4 Cl 3.08, 4 Br 3.08
Ge 0.7500 0.2500 0.2500  4 Cl 3.08, 4 Br 3.08
Ge 0.7500 0.2500 0.7500  4 Cl 3.08, 4 Br 3.08
Ge 0.7500 0.7500 0.2500  4 Cl 3.08, 4 Br 3.08
Ge 0.7500 0.7500 0.7500  4 Cl 3.08, 4 Br 3.08
Br 0.0000 0.0000 0.0000  8 Ge 3.08
Br 0.0000 0.5000 0.5000  8 Ge 3.08
Br 0.5000 0.0000 0.5000  8 Ge 3.08
Br 0.5000 0.5000 0.0000  8 Ge 3.08
Cl 0.0000 0.0000 0.5000  8 Ge 3.08
Cl 0.0000 0.5000 0.0000  8 Ge 3.08
Cl 0.5000 0.0000 0.0000  8 Ge 3.08
Cl 0.5000 0.5000 0.5000  8 Ge 3.08

Calculated volume   359 Å³ per cell
Energy   -2.999 eV per atom
Symmetry   Fm-3m, No. 225
ΔE to the lowest computed polymorph   15.29 kJ/mol of atoms
Density of states at the Fermi level   4.0 states/eV/f.u.
Formation energy from raw total energies   0.76 eV/f.u.

No. 2
# FeRe2Pt

A geometry-optimized FeRe2Pt structure (PBE, Alexandria).

Cell lengths 2.7298, 2.7298, 26.4527 Å; angles 90.00, 90.00, 120.00 degrees
Closest atoms and distances in Å follow each position.
Fractional positions:
Fe 0.0000 0.0000 0.0000  6 Re 2.61, 6 Fe 2.73
Fe 0.3333 0.6667 0.6667  6 Re 2.61, 6 Fe 2.73
Fe 0.6667 0.3333 0.3333  6 Re 2.61, 6 Fe 2.73
Re 0.0000 0.0000 0.2549  3 Fe 2.61, 6 Re 2.73, 3 Pt 2.82
Re 0.0000 0.0000 0.7451  3 Fe 2.61, 6 Re 2.73, 3 Pt 2.82
Re 0.3333 0.6667 0.4118  3 Fe 2.61, 6 Re 2.73, 3 Pt 2.82
Re 0.3333 0.6667 0.9215  3 Fe 2.61, 6 Re 2.73, 3 Pt 2.82
Re 0.6667 0.3333 0.0785  3 Fe 2.61, 6 Re 2.73, 3 Pt 2.82
Re 0.6667 0.3333 0.5882  3 Fe 2.61, 6 Re 2.73, 3 Pt 2.82
Pt 0.0000 0.0000 0.5000  6 Pt 2.73, 6 Re 2.82
Pt 0.3333 0.6667 0.1667  6 Pt 2.73, 6 Re 2.82
Pt 0.6667 0.3333 0.8333  6 Pt 2.73, 6 Re 2.82

Calculated volume   171 Å³ per cell
Energy   -9.777 eV per atom
Symmetry   R-3m, No. 166
ΔE to the lowest computed polymorph   9.16 kJ/mol of atoms
Density of states at the Fermi level   3.5 states/eV/f.u.

No. 3
# Sb2TeHBr

A geometry-optimized Sb2TeHBr structure (PBE, Alexandria).

Cell lengths 5.6106, 5.6106, 5.8888 Å; angles 90.00, 90.00, 90.00 degrees
Closest atoms and distances in Å follow each position.
Fractional positions:
Sb 0.0000 0.5000 0.0000  2 Br 2.81
Sb 0.5000 0.0000 0.0000  2 Br 2.81
Te 0.0000 0.0000 0.5000  2 Br 2.94
H 0.5000 0.5000 0.5000  4 Te 3.97, 8 Sb 4.07
Br 0.0000 0.0000 0.0000  4 Sb 2.81, 2 Te 2.94

Calculated volume   185 Å³ per cell
Energy   -1.960 eV per atom
Symmetry   P4/mmm, No. 123
ΔE to the lowest computed polymorph   83.95 kJ/mol of atoms
Density of states at the Fermi level   7.0 states/eV/f.u.

No. 4
# Hg4OsW

A geometry-optimized Hg4OsW structure (PBE, Alexandria).

Cell lengths 5.5228, 5.5228, 5.5228 Å; angles 60.00, 60.00, 60.00 degrees
Closest atoms and distances in Å follow each position.
Fractional positions:
Hg 0.1249 0.1249 0.1249  6 Hg 2.76
Hg 0.1249 0.1249 0.6252  6 Hg 2.76
Hg 0.1249 0.6252 0.1249  6 Hg 2.76
Hg 0.6252 0.1249 0.1249  6 Hg 2.76
Os 0.7500 0.7500 0.7500  12 Hg 3.24, 4 W 3.38
W 0.5000 0.5000 0.5000  12 Hg 3.24, 4 Os 3.38

Calculated volume   119 Å³ per cell
Energy   -2.799 eV per atom
Symmetry   F-43m, No. 216
Density of states at the Fermi level   5.6 states/eV/f.u.

No. 5
# TbSm2PaBi4

A geometry-optimized TbSm2PaBi4 structure (PBE, Alexandria).

Cell lengths 7.8271, 4.5122, 7.8389 Å; angles 90.00, 109.24, 90.00 degrees
Closest atoms and distances in Å follow each position.
Fractional positions:
Tb 0.0000 0.0000 0.0000  6 Bi 3.17-3.18
Sm 0.0000 0.5000 0.5000  6 Bi 3.22
Sm 0.5000 0.0000 0.5000  6 Bi 3.21-3.22
Pa 0.5000 0.5000 0.0000  6 Bi 3.16-3.18
Bi 0.2494 0.5000 0.2445  1 Pa 3.16, 2 Tb 3.18, 3 Sm 3.22
Bi 0.2512 0.0000 0.7542  1 Tb 3.17, 2 Pa 3.18, 3 Sm 3.21-3.22
Bi 0.7488 0.0000 0.2458  1 Tb 3.17, 2 Pa 3.18, 3 Sm 3.21-3.22
Bi 0.7506 0.5000 0.7555  1 Pa 3.16, 2 Tb 3.18, 3 Sm 3.22

Calculated volume   261 Å³ per cell
Energy   -5.581 eV per atom
Symmetry   P2/m, No. 10
Density of states at the Fermi level   7.4 states/eV/f.u.

No. 6
# Y2InCuH

A geometry-optimized Y2InCuH structure (PBE, Alexandria).

Cell lengths 4.9868, 4.9868, 3.8902 Å; angles 90.00, 90.00, 90.00 degrees
Closest atoms and distances in Å follow each position.
Fractional positions:
Y 0.0000 0.5000 0.0000  2 H 2.49
Y 0.5000 0.0000 0.0000  2 H 2.49
In 0.0000 0.0000 0.5000  8 Y 3.16, 4 Cu 3.53
Cu 0.5000 0.5000 0.5000  2 H 1.95
H 0.5000 0.5000 0.0000  2 Cu 1.95

Calculated volume   97 Å³ per cell
Energy   -4.977 eV per atom
Symmetry   P4/mmm, No. 123
Density of states at the Fermi level   3.1 states/eV/f.u.

No. 7
# Sc2In2PRh4

A geometry-optimized Sc2In2PRh4 structure (PBE, Alexandria).

Cell lengths 6.0294, 6.0294, 6.0294 Å; angles 118.46, 118.46, 92.68 degrees
Closest atoms and distances in Å follow each position.
Fractional positions:
Sc 0.1996 0.1996 0.0000  1 P 2.50, 4 Rh 2.67
Sc 0.8004 0.8004 0.0000  1 P 2.50, 4 Rh 2.67
In 0.2500 0.7500 0.5000  8 Rh 3.02, 4 Sc 3.11
In 0.7500 0.2500 0.5000  8 Rh 3.02, 4 Sc 3.11
P 0.5000 0.5000 0.0000  4 Rh 2.27, 2 Sc 2.50
Rh 0.2399 0.2399 0.4799  1 P 2.27
Rh 0.2399 0.7601 0.0000  1 P 2.27
Rh 0.7601 0.2399 0.0000  1 P 2.27
Rh 0.7601 0.7601 0.5201  1 P 2.27

Calculated volume   158 Å³ per cell
Energy   -6.517 eV per atom
Symmetry   I4/mmm, No. 139
Density of states at the Fermi level   3.4 states/eV/f.u.

No. 8
# LaSeCl2

A geometry-optimized LaSeCl2 structure (PBE, Alexandria).

Cell lengths 4.9834, 4.9834, 14.3934 Å; angles 90.00, 90.00, 120.00 degrees
Closest atoms and distances in Å follow each position.
Fractional positions:
La 0.0000 0.0000 0.0000  6 Cl 2.96
La 0.3333 0.6667 0.6667  6 Cl 2.96
La 0.6667 0.3333 0.3333  6 Cl 2.96
Se 0.0000 0.0000 0.5000  8 Cl 3.08-3.35
Se 0.3333 0.6667 0.1667  8 Cl 3.08-3.35
Se 0.6667 0.3333 0.8333  8 Cl 3.08-3.35
Cl 0.0000 0.0000 0.2859  3 La 2.96, 1 Se 3.08, 3 Cl 3.18
Cl 0.0000 0.0000 0.7141  3 La 2.96, 1 Se 3.08, 3 Cl 3.18
Cl 0.3333 0.6667 0.3807  3 La 2.96, 1 Se 3.08, 3 Cl 3.18
Cl 0.3333 0.6667 0.9526  3 La 2.96, 1 Se 3.08, 3 Cl 3.18
Cl 0.6667 0.3333 0.0474  3 La 2.96, 1 Se 3.08, 3 Cl 3.18
Cl 0.6667 0.3333 0.6193  3 La 2.96, 1 Se 3.08, 3 Cl 3.18

Calculated volume   310 Å³ per cell
Energy   -4.419 eV per atom
Symmetry   R-3m, No. 166
ΔE to the lowest computed polymorph   27.80 kJ/mol of atoms
Density of states at the Fermi level   1.0 states/eV/f.u.
Formation energy from raw total energies   -5.57 eV/f.u.

Q: What is the density of states at the Fermi level in the sixth record?
A: 3.1 states/eV/f.u.